Below is crystalline CoNiAg2 at its relaxed geometry, with properties calculated at the GGA-PBE level.

Structure (extended XYZ):
```
4
Lattice="-1.552 -6.865 5.825 0.489 -5.643 7.169 -2.081 -4.777 7.505" Properties=species:S:1:pos:R:3 pbc="T T T"
Ag -0.020 -0.109 0.129
Ag -0.768 -4.222 5.007
Co -1.548 -8.512 10.095
Ni -2.380 -13.085 15.518
```

Properties
The formation energy comes out at 279 meV per atom. Its energy relative to the lowest polymorph listed for this composition is 0.070 eV per atom. The value obtained for the mass density is 9.5 g/cm³. The total energy comes out at -4.369 eV/atom. The value obtained for the magnetic moment is 0.4871 μB per atom. The symmetry is R3m (160).

---

Below is crystalline Co2NiAg at its relaxed geometry, with properties calculated at the GGA-PBE level.

Structure (extended XYZ):
```
8
Lattice="6.703 0.000 0.000 0.000 6.703 0.000 3.352 3.352 2.500" Properties=species:S:1:pos:R:3 pbc="T T T"
Co 5.027 5.294 1.875
Co 8.379 8.112 1.875
Co 1.943 5.027 0.625
Co 4.761 1.676 0.625
Ni 3.352 3.352 0.000
Ni 3.352 6.703 1.250
Ag 6.703 3.352 1.250
Ag 0.000 0.000 0.000
```

Properties
The formation energy comes out at 666 meV per atom. Its energy relative to the lowest polymorph listed for this composition is 0.457 eV per atom. The value obtained for the mass density is 8.4 g/cm³. The total energy comes out at -5.045 eV/atom. The value obtained for the magnetic moment is 1.1362 μB per atom. The symmetry is I-42d (122).

---

Below is crystalline Co2NiAg at its relaxed geometry, with properties calculated at the GGA-PBE level.

Structure (extended XYZ):
```
4
Lattice="8.808 0.016 0.009 8.417 2.595 0.009 8.417 1.276 2.259" Properties=species:S:1:pos:R:3 pbc="T T T"
Ag 19.231 2.915 1.708
Co 25.444 3.856 2.260
Co 13.017 1.973 1.156
Ni 6.410 0.972 0.569
```

Properties
The formation energy comes out at 276 meV per atom. Its energy relative to the lowest polymorph listed for this composition is 0.067 eV per atom. The value obtained for the mass density is 9.2 g/cm³. The total energy comes out at -5.435 eV/atom. The value obtained for the magnetic moment is 0.9583 μB per atom. The symmetry is R-3m (166).

---

Below is crystalline CoNiAg2 at its relaxed geometry, with properties calculated at the GGA-PBE level.

Structure (extended XYZ):
```
4
Lattice="-0.963 3.220 4.110 -4.430 -0.685 2.845 4.660 -1.854 -1.741" Properties=species:S:1:pos:R:3 pbc="T T T"
Ag -1.303 -0.603 2.381
Ag -5.310 2.496 6.848
Co -2.818 1.325 3.635
Ni 0.610 1.265 2.782
```

Properties
The formation energy comes out at 354 meV per atom. Its energy relative to the lowest polymorph listed for this composition is 0.145 eV per atom. The value obtained for the mass density is 9.5 g/cm³. The total energy comes out at -4.294 eV/atom. The value obtained for the magnetic moment is 0.5631 μB per atom. The symmetry is Imm2 (44).

---

Below is crystalline Co2NiAg at its relaxed geometry, with properties calculated at the GGA-PBE level.

Structure (extended XYZ):
```
4
Lattice="4.620 -0.004 0.000 1.758 4.273 0.000 -3.189 -2.134 2.573" Properties=species:S:1:pos:R:3 pbc="T T T"
Co 0.000 0.000 0.000
Co 3.189 2.134 0.000
Ni 0.879 2.136 1.287
Ag 2.310 -0.002 1.287
```

Properties
The formation energy comes out at 341 meV per atom. Its energy relative to the lowest polymorph listed for this composition is 0.132 eV per atom. The value obtained for the mass density is 9.3 g/cm³. The total energy comes out at -5.370 eV/atom. The value obtained for the magnetic moment is 1.0060 μB per atom. The symmetry is I4/mmm (139).

---

Below is crystalline CoNi2Ag2 at its relaxed geometry, with properties calculated at the GGA-PBE level.

Structure (extended XYZ):
```
10
Lattice="-3.047 1.452 4.884 -2.534 -5.369 0.015 3.074 -1.444 2.347" Properties=species:S:1:pos:R:3 pbc="T T T"
Ni -1.336 -1.764 0.664
Ni -4.245 -2.153 4.235
Ni -3.305 -4.115 1.796
Ni -2.277 0.198 3.103
Ag -2.610 -4.184 4.474
Ag -0.696 -4.085 2.029
Ag 0.102 -1.177 2.773
Ag -1.811 -1.277 5.217
Co 0.000 0.000 0.000
Co -2.791 -1.959 2.450
```

Properties
The formation energy comes out at 406 meV per atom. The value obtained for the mass density is 8.9 g/cm³. The total energy comes out at -4.468 eV/atom. The value obtained for the magnetic moment is 0.6213 μB per atom. The symmetry is P4/mbm (127).

---

Below is crystalline Co2NiAg at its relaxed geometry, with properties calculated at the GGA-PBE level.

Structure (extended XYZ):
```
4
Lattice="-1.867 -3.520 1.244 1.399 -3.694 -1.350 1.955 -2.581 2.634" Properties=species:S:1:pos:R:3 pbc="T T T"
Co 0.372 -2.449 0.632
Co 0.000 0.000 0.000
Ni 1.115 -7.346 1.896
Ag 0.744 -4.897 1.264
```

Properties
The formation energy comes out at 384 meV per atom. Its energy relative to the lowest polymorph listed for this composition is 0.175 eV per atom. The value obtained for the mass density is 9.2 g/cm³. The total energy comes out at -5.327 eV/atom. The value obtained for the magnetic moment is 1.0721 μB per atom. The symmetry is F-43m (216).

---

Below is crystalline CoNiAgOs2 at its relaxed geometry, with properties calculated at the GGA-PBE level.

Structure (extended XYZ):
```
5
Lattice="-3.643 -2.298 -2.141 2.760 -1.312 -3.286 1.057 -3.985 2.478" Properties=species:S:1:pos:R:3 pbc="T T T"
Os -1.821 -1.149 -1.071
Os 0.528 -1.992 1.239
Co 1.380 -0.656 -1.643
Ag 0.000 0.000 0.000
Ni 0.087 -3.797 -1.475
```

Properties
The formation energy comes out at 2862 meV per atom. The value obtained for the mass density is 9.7 g/cm³. The total energy comes out at -4.778 eV/atom. The value obtained for the magnetic moment is 1.3664 μB per atom. The symmetry is P4/mmm (123).